Entry 1:
This record from Alexandria via LeMat-Bulk describes a relaxed Tm8Sn3Te4As crystal. The functional is PBE.

Properties
Raw formation energy in eV per atom: -1.083

POSCAR file:
```
Tm8Sn3Te4As
1.0
8.613 0.000 0.000
0.000 8.634 0.009
-4.306 -4.302 6.093
Tm Sn Te As
8 3 4 1
Direct
0.240 0.728 0.989
0.240 0.728 0.479
0.255 0.264 0.509
0.749 0.728 0.989
0.251 0.272 0.011
0.745 0.736 0.491
0.760 0.272 0.521
0.760 0.272 0.011
0.500 0.500 0.000
0.500 0.500 0.500
0.000 0.500 0.500
0.500 0.000 0.000
0.500 0.000 0.500
0.000 0.000 0.000
0.000 0.000 0.500
0.000 0.500 0.000
```



Entry 2:
This record from Alexandria via LeMat-Bulk describes a relaxed Sm3MgIn crystal. The functional is PBE.

Properties
Energy above the most stable polymorph in this dataset in eV/f.u.: 0.00
Formation energy from the elements in eV per atom: -0.23

POSCAR file:
```
Sm3MgIn
1.0
-3.680 -2.985 2.088
1.307 -3.851 -3.202
5.393 -5.215 8.473
Sm Mg In
6 2 2
Direct
0.765 0.250 0.118
0.382 0.250 0.885
0.574 0.250 0.500
0.267 0.750 0.115
0.883 0.750 0.882
0.074 0.750 0.500
0.478 0.750 0.693
0.171 0.250 0.307
0.669 0.750 0.311
0.980 0.250 0.689
```



Entry 3:
This record from Alexandria via LeMat-Bulk describes a relaxed Sr2MnRuBr crystal. The functional is PBE.

Properties
Raw formation energy in eV per atom: -0.098

POSCAR file:
```
Sr2MnRuBr
1.0
5.968 0.000 0.000
0.000 4.452 0.000
0.000 0.000 5.968
Ru Mn Br Sr
1 1 1 2
Direct
0.000 0.000 0.000
0.000 0.500 0.000
0.500 0.500 0.500
0.000 0.000 0.500
0.500 0.000 0.000
```



Entry 4:
This record from Alexandria via LeMat-Bulk describes a relaxed TmSeO4 crystal. The functional is PBE.

Properties
Raw formation energy in eV per atom: -1.828

POSCAR file:
```
TmSeO4
1.0
-5.075 1.497 2.858
5.066 1.113 3.042
0.208 5.942 0.899
Tm Se O
2 2 8
Direct
0.875 0.625 0.250
0.125 0.375 0.750
0.625 0.875 0.750
0.375 0.125 0.250
0.248 0.680 0.932
0.612 0.680 0.568
0.180 0.112 0.068
0.752 0.320 0.068
0.180 0.748 0.432
0.820 0.888 0.932
0.388 0.320 0.432
0.820 0.252 0.568
```



Question: What is the formula in the second record?
Answer: Sm3MgIn